Entry from the Alexandria database: an optimized crystal structure of NaLiAg2 (GGA-PBE).

Results
As for the total DFT energy (no corrections): -2.326 eV/atom. As for the space-group type: No. 123.

Structure (POSCAR):
```
NaLiAg2
1.0
3.2933 0.0000 0.0000
0.0000 3.2933 0.0000
0.0000 0.0000 7.1024
Na Ag Li
1 2 1
Direct
0.5000 0.5000 0.5000
0.0000 0.0000 0.7933
0.0000 0.0000 0.2067
0.5000 0.5000 0.0000
```

Entry from the Alexandria database: an optimized crystal structure of HgPW2 (GGA-PBE).

Results
As for the total DFT energy (no corrections): -6.948 eV/atom. As for the space-group type: No. 216. The value obtained for the energy above the most stable polymorph in this dataset is 650 meV/atom.

Structure (POSCAR):
```
HgPW2
1.0
0.0000 3.2392 3.2392
3.2392 0.0000 3.2392
3.2392 3.2392 0.0000
Hg P W
1 1 2
Direct
0.5000 0.5000 0.5000
0.2500 0.2500 0.2500
0.0000 0.0000 0.0000
0.7500 0.7500 0.7500
```

Entry from the Alexandria database: an optimized crystal structure of TlSb2Rh (GGA-PBE).

Results
The value obtained for the uncorrected formation energy is 0.0131 eV per atom. As for the total DFT energy (no corrections): -4.478 eV/atom. As for the space-group type: No. 6. The value obtained for the energy above the most stable polymorph in this dataset is 205 meV/atom.

Structure (POSCAR):
```
TlSb2Rh
1.0
-3.3914 -0.7903 0.3396
-0.1201 -1.1583 -3.8953
1.6505 -7.1524 -0.1628
Tl Sb Rh
1 2 1
Direct
0.0000 0.1819 0.4986
0.0000 0.9102 0.0721
0.5000 0.5371 0.7757
0.5000 0.3708 0.1536
```

Entry from the Alexandria database: an optimized crystal structure of Er2Mg13 (GGA-PBE).

Results
As for the total DFT energy (no corrections): -1.702 eV/atom. As for the space-group type: No. 166.

Structure (POSCAR):
```
Er2Mg13
1.0
8.4447 0.0000 0.0000
4.2224 7.3134 0.0000
4.2224 2.4378 7.5228
Er Mg
2 13
Direct
0.2602 0.2602 0.2193
0.7398 0.7398 0.7807
0.5000 0.5000 0.5000
0.4915 0.8467 0.1703
0.4915 0.4915 0.1703
0.8467 0.4915 0.1703
0.1533 0.5085 0.8297
0.5085 0.1533 0.8297
0.5085 0.5085 0.8297
0.2635 0.8887 0.5843
0.2635 0.2635 0.5843
0.8887 0.2635 0.5843
0.1113 0.7365 0.4157
0.7365 0.1113 0.4157
0.7365 0.7365 0.4157
```

Entry from the Alexandria database: an optimized crystal structure of LaBeNi2 (GGA-PBE).

Results
As for the total DFT energy (no corrections): -5.389 eV/atom. As for the space-group type: No. 12.

Structure (POSCAR):
```
LaBeNi2
1.0
-2.2324 1.5458 2.8464
-0.1381 -1.7133 3.5384
2.9880 2.6895 3.6233
Ni Be La
2 1 1
Direct
0.0520 0.0520 0.8430
0.4480 0.4480 0.6570
0.7500 0.7500 0.7500
0.2500 0.2500 0.2500
```

Entry from the Alexandria database: an optimized crystal structure of YTa3Ni (GGA-PBE).

Results
As for the total DFT energy (no corrections): -8.852 eV/atom. As for the space-group type: No. 221. The value obtained for the energy above the most stable polymorph in this dataset is 0 meV/atom.

Structure (POSCAR):
```
YTa3Ni
1.0
4.7348 0.0000 0.0000
0.0000 4.7348 0.0000
0.0000 0.0000 4.7348
Y Ni Ta
1 1 3
Direct
0.5000 0.5000 0.5000
0.0000 0.0000 0.0000
0.0000 0.5000 0.0000
0.0000 0.0000 0.5000
0.5000 0.0000 0.0000
```

Entry from the Alexandria database: an optimized crystal structure of CaAl3Zn (GGA-PBE).

Results
As for the total DFT energy (no corrections): -1.639 eV/atom. As for the space-group type: No. 221.

Structure (POSCAR):
```
CaAl3Zn
1.0
-1.7069 -5.3138 1.3739
5.0971 -1.0010 2.4606
-2.0355 1.9491 5.0095
Zn Ca Al
1 1 3
Direct
0.5000 0.5000 0.5000
0.0000 0.0000 0.0000
0.0000 0.5000 0.0000
0.0000 0.0000 0.5000
0.5000 0.0000 0.0000
```

Entry from the Alexandria database: an optimized crystal structure of V2Co4Ge (GGA-PBE).

Results
As for the total DFT energy (no corrections): -7.267 eV/atom. As for the space-group type: No. 64. The value obtained for the energy above the most stable polymorph in this dataset is 0 meV/atom.

Structure (POSCAR):
```
V2Co4Ge
1.0
8.2863 0.0000 0.0000
0.0000 4.3981 -2.0352
0.0000 -0.4269 4.8473
V Co Ge
4 8 2
Direct
0.0000 0.6614 0.3227
0.0000 0.3386 0.6773
0.5000 0.8386 0.6773
0.5000 0.1614 0.3227
0.7659 0.6338 0.0000
0.7500 0.5861 0.5000
0.7500 0.0861 0.5000
0.7341 0.1338 0.0000
0.2659 0.8662 0.0000
0.2500 0.9139 0.5000
0.2500 0.4139 0.5000
0.2341 0.3662 0.0000
0.0000 0.0000 0.0000
0.5000 0.5000 0.0000
```

Entry from the Alexandria database: an optimized crystal structure of NdScGa (GGA-PBE).

Results
As for the total DFT energy (no corrections): -4.931 eV/atom. As for the space-group type: No. 129. The value obtained for the energy above the most stable polymorph in this dataset is 218 meV/atom.

Structure (POSCAR):
```
NdScGa
1.0
-0.7768 4.7783 0.5689
-3.5808 -0.9590 3.1650
4.5509 0.1224 5.1859
Nd Sc Ga
2 2 2
Direct
0.5000 0.5000 0.5000
0.0000 0.0000 0.5000
0.5000 0.5000 0.0000
0.0000 0.0000 0.0000
0.5000 0.0000 0.7812
0.0000 0.5000 0.2188
```

Entry from the Alexandria database: an optimized crystal structure of Dy4Zn3Cu (GGA-PBE).

Results
As for the total DFT energy (no corrections): -3.608 eV/atom. As for the space-group type: No. 123. The value obtained for the energy above the most stable polymorph in this dataset is 0 meV/atom.

Structure (POSCAR):
```
Dy4Zn3Cu
1.0
-2.7568 -0.8510 2.0499
2.0403 -2.2583 1.8065
3.5065 10.3911 9.0296
Zn Cu Dy
3 1 4
Direct
0.5000 0.5000 0.2485
0.5000 0.5000 0.5000
0.5000 0.5000 0.7515
0.5000 0.5000 0.0000
0.0000 0.0000 0.8798
0.0000 0.0000 0.1202
0.0000 0.0000 0.3736
0.0000 0.0000 0.6264
```

Entry from the Alexandria database: an optimized crystal structure of Ce4YEr3S8 (GGA-PBE).

Results
The value obtained for the uncorrected formation energy is -2.0185 eV per atom. As for the total DFT energy (no corrections): -6.825 eV/atom. As for the space-group type: No. 166.

Structure (POSCAR):
```
Ce4YEr3S8
1.0
-6.5622 -1.3241 -4.1058
1.7751 -7.7448 -0.3396
-0.3887 3.5856 6.9755
Ce Y Er S
4 1 3 8
Direct
0.5000 0.0000 0.0000
0.5000 0.0000 0.5000
0.0000 0.0000 0.0000
0.0000 0.0000 0.5000
0.0000 0.5000 0.0000
0.5000 0.5000 0.0000
0.5000 0.5000 0.5000
0.0000 0.5000 0.5000
0.2465 0.7360 0.9895
0.2465 0.7360 0.4930
0.2552 0.2656 0.5104
0.7431 0.7360 0.9895
0.2569 0.2640 0.0105
0.7448 0.7344 0.4896
0.7535 0.2640 0.5070
0.7535 0.2640 0.0105
```

Entry from the Alexandria database: an optimized crystal structure of SbOsW2 (GGA-PBE).

Results
The value obtained for the uncorrected formation energy is 0.5053 eV per atom. As for the total DFT energy (no corrections): -9.809 eV/atom. As for the space-group type: No. 8.

Structure (POSCAR):
```
SbOsW2
1.0
-2.1776 3.3079 3.0885
-3.9998 0.9018 2.9002
1.2842 -1.3236 4.4854
Os Sb W
1 1 2
Direct
0.4970 0.4970 0.5518
0.2441 0.2441 0.2202
0.9994 0.9994 0.0304
0.7595 0.7595 0.6976
```

Q: Which value of total DFT energy (no corrections) does entry 6 give?
A: -8.852 eV/atom

Q: Number 9 is which compound?
A: NdScGa

Repeat the second record exactly.
Entry from the Alexandria database: an optimized crystal structure of HgPW2 (GGA-PBE).

Results
As for the total DFT energy (no corrections): -6.948 eV/atom. As for the space-group type: No. 216. The value obtained for the energy above the most stable polymorph in this dataset is 650 meV/atom.

Structure (POSCAR):
```
HgPW2
1.0
0.0000 3.2392 3.2392
3.2392 0.0000 3.2392
3.2392 3.2392 0.0000
Hg P W
1 1 2
Direct
0.5000 0.5000 0.5000
0.2500 0.2500 0.2500
0.0000 0.0000 0.0000
0.7500 0.7500 0.7500
```

Please write out number 9 again, unchanged.
Entry from the Alexandria database: an optimized crystal structure of NdScGa (GGA-PBE).

Results
As for the total DFT energy (no corrections): -4.931 eV/atom. As for the space-group type: No. 129. The value obtained for the energy above the most stable polymorph in this dataset is 218 meV/atom.

Structure (POSCAR):
```
NdScGa
1.0
-0.7768 4.7783 0.5689
-3.5808 -0.9590 3.1650
4.5509 0.1224 5.1859
Nd Sc Ga
2 2 2
Direct
0.5000 0.5000 0.5000
0.0000 0.0000 0.5000
0.5000 0.5000 0.0000
0.0000 0.0000 0.0000
0.5000 0.0000 0.7812
0.0000 0.5000 0.2188
```